First-principles (PBE-GGA) data for MgGa2Pd9 after structural relaxation, as listed in Alexandria.

ΔH_f (0 K): -0.452 eV per atom

Unit cell a=3.9462 b=3.9462 c=11.7561 alpha=90.00 beta=90.00 gamma=90.00
Closest atoms and distances in Å follow each position.
Space group P4/mmm (No. 123)
Asymmetric unit:
Mg (0.0000, 0.0000, 0.0000) [1 per cell]  12 Pd 2.79-2.82
Ga (0.0000, 0.0000, 0.3347) [2 per cell]  12 Pd 2.75-2.79
Pd (0.0000, 0.5000, 0.1712) [4 per cell]  2 Ga 2.75, 8 Pd 2.76-2.82, 2 Mg 2.82
Pd (0.0000, 0.5000, 0.5000) [2 per cell]  8 Pd 2.76-2.79, 4 Ga 2.77
Pd (0.5000, 0.5000, 0.0000) [1 per cell]  4 Mg 2.79, 8 Pd 2.82
Pd (0.5000, 0.5000, 0.3354) [2 per cell]  8 Pd 2.76, 4 Ga 2.79

***

First-principles (PBE-GGA) data for Mg4GaPd3 after structural relaxation, as listed in Alexandria.

ΔH_f (0 K): -0.600 eV per atom

Unit cell a=3.2537 b=3.2537 c=12.6323 alpha=90.00 beta=90.00 gamma=90.00
Closest atoms and distances in Å follow each position.
Space group P4/mmm (No. 123)
Asymmetric unit:
Mg (0.0000, 0.0000, 0.1215) [2 per cell]  8 Pd 2.77-2.79, 2 Mg 3.06-3.07
Mg (0.0000, 0.0000, 0.3639) [2 per cell]  4 Pd 2.74, 4 Ga 2.87, 1 Mg 3.06
Ga (0.5000, 0.5000, 0.5000) [1 per cell]  8 Mg 2.87, 2 Pd 3.20
Pd (0.5000, 0.5000, 0.0000) [1 per cell]  8 Mg 2.77
Pd (0.5000, 0.5000, 0.2468) [2 per cell]  8 Mg 2.74-2.79